No. 1
Below is crystalline SnHg3W at its relaxed geometry, with properties calculated at the PBE level.

Summary:
**Polymorph energy (0 for the lowest one)**: 0 meV/atom
**V**: 147.4 Å³ per cell
**Density**: 10.19 Mg/m³

POSCAR file:
```
SnHg3W
1.0
5.2825 0.0000 0.0000
0.0000 5.2825 0.0000
0.0000 0.0000 5.2825
Sn Hg W
1 3 1
direct
0.0000 0.0000 0.0000 Sn
0.0000 0.5000 0.5000 Hg
0.5000 0.0000 0.5000 Hg
0.5000 0.5000 0.0000 Hg
0.5000 0.5000 0.5000 W
```



No. 2
Below is crystalline SnHgW2 at its relaxed geometry, with properties calculated at the PBE level.

Summary:
**Polymorph energy (0 for the lowest one)**: 0 meV/atom
**V**: 72.5 Å³ per cell
**Density**: 15.74 Mg/m³

POSCAR file:
```
SnHgW2
1.0
0.0000 3.3095 3.3095
3.3095 0.0000 3.3095
3.3095 3.3095 0.0000
Sn Hg W
1 1 2
direct
0.0000 0.0000 0.0000 Sn
0.5000 0.5000 0.5000 Hg
0.2500 0.2500 0.2500 W
0.7500 0.7500 0.7500 W
```



No. 3
Below is crystalline SnHgW2 at its relaxed geometry, with properties calculated at the PBE level.

Summary:
**Polymorph energy (0 for the lowest one)**: 343 meV/atom
**V**: 162.2 Å³ per cell
**Density**: 14.07 Mg/m³

POSCAR file:
```
SnHgW2
1.0
-3.8049 3.8049 2.8009
3.8049 -3.8049 2.8009
3.8049 3.8049 -2.8009
Sn Hg W
2 2 4
direct
0.0000 0.0000 0.0000 Sn
0.7500 0.2500 0.5000 Sn
0.2500 0.7500 0.5000 Hg
0.5000 0.5000 0.0000 Hg
0.1125 0.6250 0.9875 W
0.3750 0.3625 0.4875 W
0.6375 0.1250 0.0125 W
0.8750 0.8875 0.5125 W
```



No. 4
Below is crystalline Sn3HgW at its relaxed geometry, with properties calculated at the PBE level.

Summary:
**Polymorph energy (0 for the lowest one)**: 0 meV/atom
**V**: 148.9 Å³ per cell
**Density**: 8.26 Mg/m³

POSCAR file:
```
Sn3HgW
1.0
5.3000 0.0000 0.0000
0.0000 5.3000 0.0000
0.0000 0.0000 5.3000
Sn Hg W
3 1 1
direct
0.0000 0.0000 0.5000 Sn
0.0000 0.5000 0.0000 Sn
0.5000 0.0000 0.0000 Sn
0.5000 0.5000 0.5000 Hg
0.0000 0.0000 0.0000 W
```



No. 5
Below is crystalline SnHg2W2 at its relaxed geometry, with properties calculated at the PBE level.

Summary:
**Polymorph energy (0 for the lowest one)**: 272 meV/atom
**V**: 106.4 Å³ per cell
**Density**: 13.85 Mg/m³

POSCAR file:
```
SnHg2W2
1.0
-1.9480 1.9480 7.0104
1.9480 -1.9480 7.0104
1.9480 1.9480 -7.0104
Sn Hg W
1 2 2
direct
0.0000 0.0000 0.0000 Sn
0.2500 0.7500 0.5000 Hg
0.7500 0.2500 0.5000 Hg
0.4140 0.4140 0.0000 W
0.5860 0.5860 0.0000 W
```



No. 6
Below is crystalline SnHg2W2 at its relaxed geometry, with properties calculated at the PBE level.

Summary:
**Polymorph energy (0 for the lowest one)**: 0 meV/atom
**V**: 207.8 Å³ per cell
**Density**: 14.19 Mg/m³

POSCAR file:
```
SnHg2W2
1.0
6.9431 0.0000 0.0000
0.0000 6.9431 0.0000
0.0000 0.0000 4.3100
Sn Hg W
2 4 4
direct
0.0000 0.0000 0.0000 Sn
0.5000 0.5000 0.0000 Sn
0.1740 0.3260 0.5000 Hg
0.3260 0.8260 0.5000 Hg
0.6740 0.1740 0.5000 Hg
0.8260 0.6740 0.5000 Hg
0.1247 0.6247 0.0000 W
0.3753 0.1247 0.0000 W
0.6247 0.8753 0.0000 W
0.8753 0.3753 0.0000 W
```



No. 7
Below is crystalline SnHg2W at its relaxed geometry, with properties calculated at the PBE level.

Summary:
**Final energy**: -3.485 eV/atom
**V**: 184.3 Å³ per cell
**Density**: 12.68 Mg/m³

POSCAR file:
```
SnHg2W
1.0
-4.0594 4.0594 2.7968
4.0594 -4.0594 2.7968
4.0594 4.0594 -2.7968
Sn Hg W
2 4 2
direct
0.0000 0.0000 0.0000 Sn
0.7500 0.2500 0.5000 Sn
0.1586 0.6250 0.0336 Hg
0.3750 0.4086 0.5336 Hg
0.5914 0.1250 0.9664 Hg
0.8750 0.8414 0.4664 Hg
0.2500 0.7500 0.5000 W
0.5000 0.5000 0.0000 W
```



No. 8
Below is crystalline YSn2Hg at its relaxed geometry, with properties calculated at the PBE level.

Summary:
**Final energy**: -4.049 eV/atom
**V**: 104.3 Å³ per cell
**Density**: 8.39 Mg/m³

POSCAR file:
```
YSn2Hg
1.0
3.6152 -3.9576 0.0000
3.6152 3.9576 0.0000
0.0000 0.0000 3.6459
Y Sn Hg
1 2 1
direct
0.0000 0.0000 0.0000 Y
0.0000 0.5000 0.5000 Sn
0.5000 0.0000 0.5000 Sn
0.5000 0.5000 0.0000 Hg
```



> Look up the density of the second one.

15.74 Mg/m³